[1]
Compound: BeOs2Se
Source: the Alexandria database
Functional: PBE
Structure: optimized geometry

Lattice parameters (Å, degrees): 8.175 2.968 4.837 90.00 108.51 90.00
Space group Cm (No. 8)
One atom of each set of equivalent atoms:
Be1 0.000 0.000 0.000 [2 per cell]
Os1 0.217 0.500 0.977 [2 per cell]
Os2 0.485 0.000 0.366 [2 per cell]
Se1 0.246 0.000 0.589 [2 per cell]

Properties
formation energy without anion corrections: 0.343 eV per atom
mass density: 14.0 g/cm3
E_tot: -7.075 eV per atom


[2]
Compound: BeOs2Se
Source: the Alexandria database
Functional: PBE
Structure: optimized geometry

Lattice parameters (Å, degrees): 2.876 2.876 8.114 90.00 90.00 90.00
Space group P4mm (No. 99)
One atom of each set of equivalent atoms:
Be1 0.000 0.000 0.000 [1 per cell]
Os1 0.000 0.000 0.368 [1 per cell]
Os2 0.500 0.500 0.141 [1 per cell]
Se1 0.500 0.500 0.567 [1 per cell]

Properties
formation energy without anion corrections: 0.311 eV per atom
mass density: 11.6 g/cm3
E_tot: -7.107 eV per atom


[3]
Compound: BeOsSe3
Source: the Alexandria database
Functional: PBE
Structure: optimized geometry

Lattice parameters (Å, degrees): 4.883 4.883 4.883 90.00 90.00 90.00
Space group Pm-3m (No. 221)
One atom of each set of equivalent atoms:
Be1 0.000 0.000 0.000 [1 per cell]
Os1 0.500 0.500 0.500 [1 per cell]
Se1 0.000 0.500 0.500 [3 per cell]

Properties
formation energy without anion corrections: 1.041 eV per atom
mass density: 6.2 g/cm3
E_tot: -4.041 eV per atom


[4]
Compound: BeOs2Se
Source: the Alexandria database
Functional: PBE
Structure: optimized geometry

Lattice parameters (Å, degrees): 5.928 5.928 5.928 90.00 90.00 90.00
Space group Fm-3m (No. 225)
One atom of each set of equivalent atoms:
Be1 0.000 0.000 0.000 [4 per cell]
Os1 0.250 0.250 0.250 [8 per cell]
Se1 0.000 0.000 0.500 [4 per cell]

Properties
formation energy without anion corrections: 0.442 eV per atom
mass density: 14.9 g/cm3
E_tot: -6.976 eV per atom


[5]
Compound: Be2OsSe
Source: the Alexandria database
Functional: PBE
Structure: optimized geometry

Lattice parameters (Å, degrees): 3.620 3.620 7.455 90.00 90.00 90.00
Space group I4/mmm (No. 139)
One atom of each set of equivalent atoms:
Be1 0.000 0.500 0.250 [4 per cell]
Os1 0.000 0.000 0.000 [2 per cell]
Se1 0.000 0.000 0.500 [2 per cell]

Properties
formation energy without anion corrections: 0.457 eV per atom
mass density: 9.8 g/cm3
E_tot: -5.085 eV per atom


[6]
Compound: Be2OsSe
Source: the Alexandria database
Functional: PBE
Structure: optimized geometry

Lattice parameters (Å, degrees): 2.9269 2.9269 21.2922 90.00 90.00 120.00
Space group R3m (No. 160, hexagonal axes)
One atom of each set of equivalent atoms:
Be1 0.0000 0.0000 0.0000 [3 per cell]
Be2 0.0000 0.0000 0.2574 [3 per cell]
Os1 0.0000 0.0000 0.5090 [3 per cell]
Se1 0.0000 0.0000 0.7528 [3 per cell]

Properties
formation energy without anion corrections: 0.532 eV per atom
mass density: 9.1 g/cm3
E_tot: -5.010 eV per atom